No. 1
# ErTh3Hg12 (PBE, relaxed)
# Crystal system   tetragonal
# Electronic total energy   -33.6 eV/cell
# V   409.3 Å³/cell
data_ErTh3Hg12
_chemical_formula_sum 'Er1 Th3 Hg12'
_cell_length_a 4.783
_cell_length_b 4.783
_cell_length_c 17.892
_cell_angle_alpha 90.00
_cell_angle_beta 90.00
_cell_angle_gamma 90.00
_space_group_name_H-M_alt 'P 1'
_space_group_IT_number 1
_space_group_name_Hall 'P 1'
loop_
_atom_site_label
_atom_site_fract_x
_atom_site_fract_y
_atom_site_fract_z
Er1 0.000 0.000 0.000
Th1 0.000 0.000 0.245
Th2 0.000 0.000 0.500
Th3 0.000 0.000 0.755
Hg1 0.000 0.500 0.119
Hg2 0.000 0.500 0.373
Hg3 0.000 0.500 0.627
Hg4 0.000 0.500 0.881
Hg5 0.500 0.000 0.119
Hg6 0.500 0.000 0.373
Hg7 0.500 0.000 0.627
Hg8 0.500 0.000 0.881
Hg9 0.500 0.500 0.000
Hg10 0.500 0.500 0.245
Hg11 0.500 0.500 0.500
Hg12 0.500 0.500 0.755

---

No. 2
# ErTh2Hg4 (PBE, relaxed)
# Crystal system   tetragonal
# Electronic total energy   -22.0 eV/cell
# V   198.1 Å³/cell
data_ErTh2Hg4
_chemical_formula_sum 'Er1 Th2 Hg4'
_cell_length_a 8.344
_cell_length_b 8.344
_cell_length_c 8.344
_cell_angle_alpha 144.16
_cell_angle_beta 144.16
_cell_angle_gamma 51.59
_space_group_name_H-M_alt 'P 1'
_space_group_IT_number 1
_space_group_name_Hall 'P 1'
loop_
_atom_site_label
_atom_site_fract_x
_atom_site_fract_y
_atom_site_fract_z
Er1 0.000 0.000 0.000
Th1 0.258 0.258 0.000
Th2 0.742 0.742 0.000
Hg1 0.107 0.607 0.500
Hg2 0.393 0.893 0.500
Hg3 0.607 0.107 0.500
Hg4 0.893 0.393 0.500

---

No. 3
# Er2ThHg4 (PBE, relaxed)
# Crystal system   tetragonal
# Electronic total energy   -19.4 eV/cell
# V   197.0 Å³/cell
data_Er2ThHg4
_chemical_formula_sum 'Er2 Th1 Hg4'
_cell_length_a 5.192
_cell_length_b 5.192
_cell_length_c 7.306
_cell_angle_alpha 90.00
_cell_angle_beta 90.00
_cell_angle_gamma 90.00
_space_group_name_H-M_alt 'P 1'
_space_group_IT_number 1
_space_group_name_Hall 'P 1'
loop_
_atom_site_label
_atom_site_fract_x
_atom_site_fract_y
_atom_site_fract_z
Er1 0.000 0.000 0.000
Er2 0.500 0.500 0.500
Th1 0.000 0.000 0.500
Hg1 0.000 0.500 0.227
Hg2 0.000 0.500 0.773
Hg3 0.500 0.000 0.227
Hg4 0.500 0.000 0.773

---

No. 4
# ErThHg3 (PBE, relaxed)
# Crystal system   orthorhombic
# Electronic total energy   -27.3 eV/cell
# V   271.1 Å³/cell
data_ErThHg3
_chemical_formula_sum 'Er2 Th2 Hg6'
_cell_length_a 8.950
_cell_length_b 8.950
_cell_length_c 8.950
_cell_angle_alpha 145.02
_cell_angle_beta 138.35
_cell_angle_gamma 55.48
_space_group_name_H-M_alt 'P 1'
_space_group_IT_number 1
_space_group_name_Hall 'P 1'
loop_
_atom_site_label
_atom_site_fract_x
_atom_site_fract_y
_atom_site_fract_z
Er1 0.355 0.105 0.250
Er2 0.645 0.895 0.750
Th1 0.060 0.310 0.750
Th2 0.940 0.690 0.250
Hg1 0.157 0.907 0.250
Hg2 0.260 0.510 0.750
Hg3 0.454 0.704 0.750
Hg4 0.546 0.296 0.250
Hg5 0.740 0.490 0.250
Hg6 0.843 0.093 0.750

---

| no. | N(E_F) (states/eV/f.u.) |
| --- | --- |
| 1 | 17.10 |
| 2 | 7.91 |
| 3 | 6.40 |
| 4 | 2.97 |